A geometry-optimized BaLi2Mo structure. Source: the Open Quantum Materials Database, functional PBE.

Structure (CIF):
```
data_BaLi2Mo
_symmetry_space_group_name_H-M 'F -4 3 m'
_symmetry_Int_Tables_number 216
_symmetry_space_group_name_Hall 'F -4 2 3'
_cell_length_a 7.272
_cell_length_b 7.272
_cell_length_c 7.272
_cell_angle_alpha 90.00
_cell_angle_beta 90.00
_cell_angle_gamma 90.00
loop_
_atom_site_label
_atom_site_type_symbol
_atom_site_fract_x
_atom_site_fract_y
_atom_site_fract_z
_atom_site_occupancy
Ba1 Ba 0.000 0.000 0.000 1
Li1 Li 0.000 0.000 0.500 1
Li2 Li 0.250 0.250 0.750 1
Mo1 Mo 0.250 0.250 0.250 1
```

A geometry-optimized Sc2SiIr structure. Source: the Open Quantum Materials Database, functional PBE.

Structure (CIF):
```
data_Sc2SiIr
_symmetry_space_group_name_H-M 'F -4 3 m'
_symmetry_Int_Tables_number 216
_symmetry_space_group_name_Hall 'F -4 2 3'
_cell_length_a 6.390
_cell_length_b 6.390
_cell_length_c 6.390
_cell_angle_alpha 90.00
_cell_angle_beta 90.00
_cell_angle_gamma 90.00
loop_
_atom_site_label
_atom_site_type_symbol
_atom_site_fract_x
_atom_site_fract_y
_atom_site_fract_z
_atom_site_occupancy
Sc1 Sc 0.000 0.000 0.000 1
Sc2 Sc 0.250 0.250 0.250 1
Si1 Si 0.000 0.000 0.500 1
Ir1 Ir 0.250 0.250 0.750 1
```

A geometry-optimized BaAuO3 structure. Source: the Open Quantum Materials Database, functional PBE.

Structure (CIF):
```
data_BaAuO3
_symmetry_space_group_name_H-M 'P n m a'
_symmetry_Int_Tables_number 62
_cell_length_a 6.545
_cell_length_b 8.831
_cell_length_c 6.373
_cell_angle_alpha 90.00
_cell_angle_beta 90.00
_cell_angle_gamma 90.00
loop_
_symmetry_equiv_pos_as_xyz
'x,y,z'
'-x,-y,-z'
'-x+1/2,-y,z+1/2'
'x+1/2,y,-z+1/2'
'x+1/2,-y+1/2,-z+1/2'
'-x+1/2,y+1/2,z+1/2'
'-x,y+1/2,-z'
'x,-y+1/2,z'
loop_
_atom_site_label
_atom_site_type_symbol
_atom_site_fract_x
_atom_site_fract_y
_atom_site_fract_z
_atom_site_occupancy
Ba1 Ba 0.000 0.000 0.000 1
Au1 Au 0.030 0.250 0.477 1
O1 O 0.148 0.597 0.638 1
O2 O 0.223 0.750 0.137 1
```

A geometry-optimized Li2GeW structure. Source: the Open Quantum Materials Database, functional PBE.

Structure (CIF):
```
data_Li2GeW
_symmetry_space_group_name_H-M 'F -4 3 m'
_symmetry_Int_Tables_number 216
_symmetry_space_group_name_Hall 'F -4 2 3'
_cell_length_a 6.124
_cell_length_b 6.124
_cell_length_c 6.124
_cell_angle_alpha 90.00
_cell_angle_beta 90.00
_cell_angle_gamma 90.00
loop_
_atom_site_label
_atom_site_type_symbol
_atom_site_fract_x
_atom_site_fract_y
_atom_site_fract_z
_atom_site_occupancy
Li1 Li 0.000 0.000 0.000 1
Li2 Li 0.250 0.250 0.250 1
Ge1 Ge 0.000 0.000 0.500 1
W1 W 0.250 0.250 0.750 1
```

A geometry-optimized ErTmB3 structure. Source: the Open Quantum Materials Database, functional PBE.

Structure (CIF):
```
data_ErTmB3
_symmetry_space_group_name_H-M 'P 1 21/m 1'
_symmetry_Int_Tables_number 11
_cell_length_a 5.843
_cell_length_b 3.238
_cell_length_c 7.349
_cell_angle_alpha 90.00
_cell_angle_beta 90.84
_cell_angle_gamma 90.00
loop_
_symmetry_equiv_pos_as_xyz
'x,y,z'
'-x,-y,-z'
'-x,y+1/2,-z'
'x,-y+1/2,z'
loop_
_atom_site_label
_atom_site_type_symbol
_atom_site_fract_x
_atom_site_fract_y
_atom_site_fract_z
_atom_site_occupancy
Er1 Er 0.246 0.250 0.245 1
Tm1 Tm 0.254 0.250 0.749 1
B1 B 0.080 0.750 0.499 1
B2 B 0.420 0.750 0.499 1
B3 B 0.448 0.750 0.998 1
```

A geometry-optimized NaLuSnSe3 structure. Source: the Open Quantum Materials Database, functional PBE.

Structure (CIF):
```
data_NaLuSnSe3
_symmetry_space_group_name_H-M 'C m c m'
_symmetry_Int_Tables_number 63
_symmetry_space_group_name_Hall '-C 2c 2'
_cell_length_a 4.010
_cell_length_b 15.881
_cell_length_c 11.296
_cell_angle_alpha 90.00
_cell_angle_beta 90.00
_cell_angle_gamma 90.00
loop_
_atom_site_label
_atom_site_type_symbol
_atom_site_fract_x
_atom_site_fract_y
_atom_site_fract_z
_atom_site_occupancy
Na1 Na 0.000 0.168 0.250 1
Lu1 Lu 0.000 0.500 0.000 1
Sn1 Sn 0.000 0.140 0.750 1
Se1 Se 0.000 0.122 0.010 1
Se2 Se 0.000 0.479 0.250 1
```

A geometry-optimized GdBiCl6 structure. Source: the Open Quantum Materials Database, functional PBE.

Structure (CIF):
```
data_GdBiCl6
_symmetry_space_group_name_H-M 'C 1 2 1'
_symmetry_Int_Tables_number 5
_cell_length_a 6.991
_cell_length_b 12.107
_cell_length_c 6.565
_cell_angle_alpha 90.00
_cell_angle_beta 110.88
_cell_angle_gamma 90.00
loop_
_symmetry_equiv_pos_as_xyz
'x,y,z'
'-x,y,-z'
'x+1/2,y+1/2,z'
'-x+1/2,y+1/2,-z'
loop_
_atom_site_label
_atom_site_type_symbol
_atom_site_fract_x
_atom_site_fract_y
_atom_site_fract_z
_atom_site_occupancy
Gd1 Gd 0.000 0.000 0.000 1
Bi1 Bi 0.000 0.668 0.000 1
Cl1 Cl 0.226 0.837 0.248 1
Cl2 Cl 0.237 0.010 0.756 1
Cl3 Cl 0.245 0.655 0.755 1
```

# PBE ScCoHg2, relaxed
data_ScCoHg2
_symmetry_space_group_name_H-M 'F -4 3 m'
_symmetry_Int_Tables_number 216
_symmetry_space_group_name_Hall 'F -4 2 3'
_cell_length_a 6.675
_cell_length_b 6.675
_cell_length_c 6.675
_cell_angle_alpha 90.00
_cell_angle_beta 90.00
_cell_angle_gamma 90.00
loop_
_atom_site_label
_atom_site_type_symbol
_atom_site_fract_x
_atom_site_fract_y
_atom_site_fract_z
_atom_site_occupancy
Sc1 Sc 0.000 0.000 0.000 1
Co1 Co 0.250 0.250 0.250 1
Hg1 Hg 0.000 0.000 0.500 1
Hg2 Hg 0.250 0.250 0.750 1
# Energy of formation (meV/atom): 41.2

A geometry-optimized Rb2AgOsBr6 structure. Source: the Open Quantum Materials Database, functional PBE.

Structure (CIF):
```
data_Rb2AgOsBr6
_symmetry_space_group_name_H-M 'F m -3 m'
_symmetry_Int_Tables_number 225
_symmetry_space_group_name_Hall '-F 4 2 3'
_cell_length_a 10.722
_cell_length_b 10.722
_cell_length_c 10.722
_cell_angle_alpha 90.00
_cell_angle_beta 90.00
_cell_angle_gamma 90.00
loop_
_atom_site_label
_atom_site_type_symbol
_atom_site_fract_x
_atom_site_fract_y
_atom_site_fract_z
_atom_site_occupancy
Rb1 Rb 0.250 0.250 0.250 1
Ag1 Ag 0.000 0.000 0.000 1
Os1 Os 0.000 0.000 0.500 1
Br1 Br 0.000 0.000 0.263 1
```

A geometry-optimized GdTlAu structure. Source: the Open Quantum Materials Database, functional PBE.

Structure (CIF):
```
data_GdTlAu
_symmetry_space_group_name_H-M 'F -4 3 m'
_symmetry_Int_Tables_number 216
_symmetry_space_group_name_Hall 'F -4 2 3'
_cell_length_a 6.859
_cell_length_b 6.859
_cell_length_c 6.859
_cell_angle_alpha 90.00
_cell_angle_beta 90.00
_cell_angle_gamma 90.00
loop_
_atom_site_label
_atom_site_type_symbol
_atom_site_fract_x
_atom_site_fract_y
_atom_site_fract_z
_atom_site_occupancy
Gd1 Gd 0.000 0.000 0.000 1
Tl1 Tl 0.000 0.000 0.500 1
Au1 Au 0.250 0.250 0.250 1
```

A geometry-optimized Np2TlF8 structure. Source: the Open Quantum Materials Database, functional PBE.

Structure (CIF):
```
data_Np2TlF8
_symmetry_space_group_name_H-M 'C 1 2/m 1'
_symmetry_Int_Tables_number 12
_cell_length_a 10.750
_cell_length_b 7.018
_cell_length_c 4.536
_cell_angle_alpha 90.00
_cell_angle_beta 90.35
_cell_angle_gamma 90.00
loop_
_symmetry_equiv_pos_as_xyz
'x,y,z'
'-x,-y,-z'
'-x,y,-z'
'x,-y,z'
'x+1/2,y+1/2,z'
'-x+1/2,-y+1/2,-z'
'-x+1/2,y+1/2,-z'
'x+1/2,-y+1/2,z'
loop_
_atom_site_label
_atom_site_type_symbol
_atom_site_fract_x
_atom_site_fract_y
_atom_site_fract_z
_atom_site_occupancy
Np1 Np 0.178 0.000 0.496 1
Tl1 Tl 0.000 0.500 0.000 1
F1 F 0.002 0.000 0.758 1
F2 F 0.136 0.316 0.497 1
F3 F 0.237 0.000 0.999 1
```

A geometry-optimized BaSmMgS3 structure. Source: the Open Quantum Materials Database, functional PBE.

Structure (CIF):
```
data_BaSmMgS3
_symmetry_space_group_name_H-M 'C m c m'
_symmetry_Int_Tables_number 63
_symmetry_space_group_name_Hall '-C 2c 2'
_cell_length_a 4.082
_cell_length_b 14.084
_cell_length_c 10.745
_cell_angle_alpha 90.00
_cell_angle_beta 90.00
_cell_angle_gamma 90.00
loop_
_atom_site_label
_atom_site_type_symbol
_atom_site_fract_x
_atom_site_fract_y
_atom_site_fract_z
_atom_site_occupancy
Ba1 Ba 0.000 0.246 0.250 1
Sm1 Sm 0.000 0.500 0.000 1
Mg1 Mg 0.000 0.032 0.750 1
S1 S 0.000 0.135 0.571 1
S2 S 0.000 0.433 0.750 1
```

| no. | calculated volume (Å³ per atom) | E_tot (eV/cell) |
| --- | --- | --- |
| 1 | 24.030 | -52.03 |
| 2 | 16.308 | -117.45 |
| 3 | 18.419 | -96.59 |
| 4 | 14.352 | -80.32 |
| 5 | 13.903 | -63.06 |
| 6 | 29.976 | -107.69 |
| 7 | 32.448 | -65.63 |
| 8 | 18.584 | -55.46 |
| 9 | 30.819 | -132.91 |
| 10 | 26.892 | -47.34 |
| 11 | 15.554 | -155.69 |
| 12 | 25.739 | -123.07 |